1.
DFT (GGA+U) results for VAgPbF6 after structural relaxation.

Geometry as extended XYZ:
```
9
Lattice="5.8051 0.0000 0.0000 -2.9025 5.0273 0.0000 0.0000 0.0000 4.8211" Properties=species:S:1:pos:R:3 pbc="T T T"
V 0.0000 0.0000 0.0000
Ag 0.0000 3.3516 0.6121
Pb 2.9025 1.6758 2.7574
F -0.5640 1.5344 3.7154
F -1.2917 4.7486 3.7154
F 1.1087 1.2572 1.0952
F 1.8557 3.7717 3.7154
F 4.1620 0.3315 1.0952
F 3.4369 3.4386 1.0952
```

---

2.
DFT (GGA+U) results for AgPbWF6 after structural relaxation.

Geometry as extended XYZ:
```
18
Lattice="6.3382 0.0000 0.0000 -3.1691 5.4891 0.0000 0.0000 0.0000 8.8197" Properties=species:S:1:pos:R:3 pbc="T T T"
Ag 0.0000 0.0000 0.0000
Ag 0.0000 0.0000 4.4099
Pb 0.0000 3.6594 2.2049
Pb 3.1691 1.8297 6.6148
W 0.0000 3.6594 6.6148
W 3.1691 1.8297 2.2049
F -0.9261 2.0709 5.5467
F -1.8387 3.6516 7.6829
F 0.9261 2.0709 7.6829
F -0.9126 5.2556 5.5467
F 2.2565 0.2334 1.1369
F 1.3304 1.8375 3.2730
F 1.8387 3.6516 5.5467
F 0.9126 5.2556 7.6829
F 4.0817 0.2334 3.2730
F 2.2430 3.4181 1.1369
F 5.0078 1.8375 1.1369
F 4.0952 3.4181 3.2730
```

---

We obtain total energy values of -5.094; -4.908 eV/atom for the records listed above, in that order.
We obtain V values of 15.639; 17.047 Å³ per atom for the records listed above, in that order.